Entry 1:
NbSnAs2 | PBEsol | relaxed

Calculated values
E_form   0.22 eV per atom
Symmetry   I-42d
Fermi-level density of states   0.683 states/eV/atom
M_tot   1.8 Bohr magnetons per cell
Raw total energy   -48.82 eV for the cell shown

The structure in extended XYZ format:
```
8
Lattice="-5.555 -0.463 2.279 2.219 -2.822 4.835 2.376 7.028 -0.738" Properties=species:S:1:pos:R:3 pbc="T T T"
As 0.237 -0.904 4.989
As -3.219 0.312 3.535
As 1.451 4.751 0.523
As -0.389 3.327 3.706
Nb -2.423 2.461 2.549
Nb -1.668 -1.643 3.557
Sn 1.463 1.282 3.827
Sn 0.000 0.000 0.000
```

=====

Entry 2:
SiMoIr | PBEsol | relaxed

Calculated values
Symmetry   P-6m2
Fermi-level density of states   0.736 states/eV/atom
M_tot   0.0 Bohr magnetons per cell
Energy above the most stable polymorph in this dataset   0 meV per atom
Raw total energy   -28.71 eV for the cell shown

The structure in extended XYZ format:
```
3
Lattice="-2.034 0.756 1.704 -2.554 -2.751 -1.827 2.315 -1.156 3.276" Properties=species:S:1:pos:R:3 pbc="T T T"
Ir -1.017 0.378 0.852
Mo 0.692 -1.688 1.575
Si -1.948 -1.842 0.726
```

=====

Entry 3:
SrMg2Si | PBEsol | relaxed

Calculated values
Symmetry   P4mm
Fermi-level density of states   0.611 states/eV/atom
M_tot   0.0 Bohr magnetons per cell
Raw total energy   -11.33 eV for the cell shown

The structure in extended XYZ format:
```
4
Lattice="3.598 0.000 0.000 0.000 3.598 0.000 0.000 0.000 7.607" Properties=species:S:1:pos:R:3 pbc="T T T"
Mg 0.000 0.000 0.416
Mg 1.799 1.799 2.146
Si 0.000 0.000 3.378
Sr 1.799 1.799 5.471
```

=====

Entry 4:
Zr2CdRh | PBEsol | relaxed

Calculated values
E_form   -0.27 eV per atom
Symmetry   I-4m2
Fermi-level density of states   0.887 states/eV/atom
M_tot   0.0 Bohr magnetons per cell
Raw total energy   -28.60 eV for the cell shown

The structure in extended XYZ format:
```
4
Lattice="4.054 0.000 0.000 0.000 4.054 0.000 -2.027 -2.027 4.522" Properties=species:S:1:pos:R:3 pbc="T T T"
Cd 2.027 2.027 0.000
Rh 0.000 2.027 2.261
Zr 0.000 0.000 0.000
Zr 2.027 0.000 2.261
```

=====

Which value of M_tot does entry 2 give? 0.0 Bohr magnetons per cell